No. 1
VASP calculation (PBE) on a relaxed structure of LaPuRh2.

Calculated values
The value obtained for the energy relative to the elements is -1.45 eV/f.u.

Unit cell a=5.832 b=5.832 c=11.980 alpha=90.00 beta=90.04 gamma=90.00
Space group C2/m (No. 12)
Unique sites:
1 La 0.249 0.000 0.122
2 Pu 0.250 0.000 0.646
3 Rh 0.000 0.250 0.500
4 Rh 0.249 0.500 0.130

No. 2
VASP calculation (PBE) on a relaxed structure of RbURuSe3.

Calculated values
The formation energy without anion corrections comes out at -0.887 eV/atom.

Unit cell a=9.471 b=4.003 c=9.926 alpha=90.00 beta=112.88 gamma=90.00
Space group P2_1/m (No. 11)
Unique sites:
1 Rb 0.206 0.250 0.240
2 U 0.320 0.750 0.840
3 Ru 0.086 0.250 0.593
4 Se 0.118 0.250 0.858
5 Se 0.199 0.750 0.528
6 Se 0.460 0.750 0.154

No. 3
VASP calculation (PBE) on a relaxed structure of Be2Te.

Calculated values
The value obtained for the distance to the lowest polymorph of the same formula is 543 meV/atom. The formation energy without anion corrections comes out at 0.564 eV/atom.

Unit cell a=4.738 b=6.135 c=3.942 alpha=90.00 beta=90.00 gamma=90.00
Space group Pnnm (No. 58)
Unique sites:
1 Be 0.174 0.099 0.000
2 Te 0.000 0.500 0.000

no.,M_tot (μB/atom)
1,1.2477
2,0.3943
3,0.0000